[1]
{
  "formula": "GeIrWI2",
  "functional": "GGA-PBE",
  "state": "optimized geometry",
  "spacegroup": "P4/mmm",
  "volume_a3_per_atom": 27.73,
  "dos_at_fermi_per_ev_atom": 1.350,
  "total_energy_ev_per_atom": -4.21,
  "e_form_raw_ev_per_atom": 1.69,
  "cell": [[5.301, 0.000, 0.000], [0.000, 4.933, 0.000], [0.000, 0.000, 5.301]],
  "species": ["I", "I", "Ge", "Ir", "W"],
  "frac_coords": [[0.000, 0.000, 0.500], [0.500, 0.000, 0.000], [0.000, 0.500, 0.000], [0.500, 0.500, 0.500], [0.000, 0.000, 0.000]]
}

=====

[2]
{
  "formula": "SmScCoNi",
  "functional": "GGA-PBE",
  "state": "optimized geometry",
  "spacegroup": "F-43m",
  "volume_a3_per_atom": 17.89,
  "dos_at_fermi_per_ev_atom": 0.739,
  "formation_enthalpy_0k_ev_per_atom": -0.228,
  "total_energy_ev_per_atom": -6.21,
  "cell": [[4.660, 0.000, 0.000], [2.330, 4.036, 0.000], [2.330, 1.345, 3.805]],
  "species": ["Sc", "Ni", "Co", "Sm"],
  "frac_coords": [[0.250, 0.250, 0.250], [0.500, 0.500, 0.500], [0.000, 0.000, 0.000], [0.750, 0.750, 0.750]]
}

=====

[3]
{
  "formula": "NaCd2Pb",
  "functional": "GGA-PBE",
  "state": "optimized geometry",
  "spacegroup": "P2_1/m",
  "volume_a3_per_atom": 29.18,
  "dos_at_fermi_per_ev_atom": 0.244,
  "formation_enthalpy_0k_ev_per_atom": -0.056,
  "total_energy_ev_per_atom": -1.77,
  "cell": [[4.908, 0.000, 0.000], [0.000, 5.636, -0.822], [0.000, -0.430, 8.503]],
  "species": ["Na", "Na", "Cd", "Cd", "Cd", "Cd", "Pb", "Pb"],
  "frac_coords": [[0.750, 0.550, 0.176], [0.250, 0.450, 0.824], [0.750, 0.141, 0.550], [0.250, 0.859, 0.450], [0.750, 0.642, 0.579], [0.250, 0.358, 0.421], [0.750, 0.000, 0.893], [0.250, 0.000, 0.107]]
}